1.
First-principles (PBE) data for an optimized crystal structure of HoErScGa, as listed in the Alexandria database.

The structure in extended XYZ format:
```
4
Lattice="0.000 3.659 3.659 3.659 0.000 3.659 3.659 3.659 0.000" Properties=species:S:1:pos:R:3 pbc="T T T"
Ho 0.000 0.000 0.000
Er 3.659 3.659 3.659
Sc 1.830 1.830 1.830
Ga 5.489 5.489 5.489
```

Values from the calculation:
Spin magnetization (μB/f.u.): 0.68
Calculated total energy (eV per atom): -4.762


2.
First-principles (PBE) data for an optimized crystal structure of Zn3BrCl, as listed in the Alexandria database.

The structure in extended XYZ format:
```
5
Lattice="5.435 0.000 0.000 0.000 5.435 0.000 0.000 0.000 5.435" Properties=species:S:1:pos:R:3 pbc="T T T"
Zn 0.000 0.000 2.718
Zn 0.000 2.718 0.000
Zn 2.718 0.000 0.000
Br 0.000 0.000 0.000
Cl 2.718 2.718 2.718
```

Values from the calculation:
Spin magnetization (μB/f.u.): 0.00
Uncorrected formation energy (meV per atom): 344


3.
First-principles (PBE) data for an optimized crystal structure of NpICl2O6, as listed in the Alexandria database.

The structure in extended XYZ format:
```
10
Lattice="5.658 0.000 0.000 0.253 5.664 0.000 1.868 1.560 6.287" Properties=species:S:1:pos:R:3 pbc="T T T"
Np 0.000 0.000 0.000
I 2.955 2.832 0.000
Cl 3.420 4.456 3.412
Cl 4.358 2.769 2.874
O 2.464 6.790 4.564
O 1.476 4.018 0.624
O 1.746 1.273 0.075
O 6.032 5.952 6.212
O 6.303 3.206 5.662
O 5.314 0.435 1.723
```

Values from the calculation:
Spin magnetization (μB/f.u.): 0.00
Uncorrected formation energy (meV per atom): -1031


4.
First-principles (PBE) data for an optimized crystal structure of AcGaCuSi2, as listed in the Alexandria database.

The structure in extended XYZ format:
```
5
Lattice="-2.225 2.225 4.922 2.225 -2.225 4.922 2.225 2.225 -4.922" Properties=species:S:1:pos:R:3 pbc="T T T"
Ac 0.000 0.000 0.000
Ga 0.000 2.225 2.461
Cu 2.225 0.000 2.461
Si 0.000 0.000 3.703
Si 0.000 0.000 6.140
```

Values from the calculation:
Spin magnetization (μB/f.u.): 0.00
Uncorrected formation energy (meV per atom): -384


5.
First-principles (PBE) data for an optimized crystal structure of LiY2NiCl, as listed in the Alexandria database.

The structure in extended XYZ format:
```
5
Lattice="5.230 0.000 0.000 0.000 5.230 0.000 0.000 0.000 4.192" Properties=species:S:1:pos:R:3 pbc="T T T"
Li 0.000 0.000 0.000
Y 0.000 2.615 2.096
Y 2.615 0.000 2.096
Ni 2.615 2.615 0.000
Cl 2.615 2.615 2.096
```

Values from the calculation:
Spin magnetization (μB/f.u.): 0.00
Uncorrected formation energy (meV per atom): -169


6.
First-principles (PBE) data for an optimized crystal structure of Pm7Ho2Tl2, as listed in the Alexandria database.

The structure in extended XYZ format:
```
11
Lattice="-1.840 10.200 4.926 1.840 -10.200 4.926 1.840 10.200 -4.926" Properties=species:S:1:pos:R:3 pbc="T T T"
Pm 0.000 0.000 0.000
Pm 1.840 3.283 -1.548
Pm 1.840 -2.719 2.110
Pm 1.840 2.719 2.110
Pm 1.840 7.568 0.385
Pm 0.000 2.632 5.311
Pm 0.000 6.917 3.378
Ho 0.000 0.000 3.434
Ho 0.000 10.200 1.744
Tl 0.000 4.986 0.557
Tl 0.000 15.414 0.557
```

Values from the calculation:
Spin magnetization (μB/f.u.): 0.00
Calculated total energy (eV per atom): -4.313


7.
First-principles (PBE) data for an optimized crystal structure of LiGa2Au3, as listed in the Alexandria database.

The structure in extended XYZ format:
```
12
Lattice="8.858 -2.135 0.000 8.858 2.135 0.000 -1.322 0.000 5.723" Properties=species:S:1:pos:R:3 pbc="T T T"
Li 1.684 0.000 0.780
Li 14.710 0.000 4.943
Ga 3.047 0.000 3.826
Ga 8.413 0.000 1.237
Ga 7.982 0.000 4.487
Ga 13.348 0.000 1.897
Au 0.408 0.000 3.773
Au 5.638 0.000 0.321
Au 5.595 0.000 3.286
Au 10.799 0.000 2.437
Au 10.756 0.000 5.402
Au 15.986 0.000 1.950
```

Values from the calculation:
Spin magnetization (μB/f.u.): 0.00
Calculated total energy (eV per atom): -3.267


8.
First-principles (PBE) data for an optimized crystal structure of CsNaHg, as listed in the Alexandria database.

The structure in extended XYZ format:
```
12
Lattice="8.006 0.000 0.000 0.000 7.292 0.000 -3.759 0.000 9.373" Properties=species:S:1:pos:R:3 pbc="T T T"
Cs -0.004 0.824 3.457
Cs -1.883 2.822 8.144
Cs 6.130 4.469 1.229
Cs 4.251 6.468 5.916
Na 2.216 4.428 2.880
Na 0.336 6.509 7.566
Na 3.911 0.782 1.807
Na 2.031 2.864 6.494
Hg -0.396 4.512 4.946
Hg 1.484 6.425 0.259
Hg 2.763 0.867 9.114
Hg 4.643 2.779 4.428
```

Values from the calculation:
Spin magnetization (μB/f.u.): 0.00
Calculated total energy (eV per atom): -0.992


9.
First-principles (PBE) data for an optimized crystal structure of TbEr5Th3, as listed in the Alexandria database.

The structure in extended XYZ format:
```
18
Lattice="6.239 -4.094 0.000 6.239 4.094 0.000 -1.339 0.000 12.210" Properties=species:S:1:pos:R:3 pbc="T T T"
Tb 1.385 0.000 3.259
Tb 9.754 0.000 8.951
Er 4.280 2.500 2.736
Er 3.174 0.000 0.275
Er 6.859 2.500 9.475
Er 6.239 1.402 0.000
Er 5.018 0.000 4.626
Er 6.121 0.000 7.584
Er 6.239 -1.402 0.000
Er 4.280 -2.500 2.736
Er 7.965 0.000 11.936
Er 6.859 -2.500 9.475
Th 0.000 0.000 0.000
Th -0.670 0.000 6.105
Th 2.519 0.000 6.665
Th 3.660 0.000 9.571
Th 7.480 0.000 2.639
Th 8.620 0.000 5.545
```

Values from the calculation:
Spin magnetization (μB/f.u.): 0.00
Calculated total energy (eV per atom): -4.967


no.,V (Å³/atom)
1,24.494
2,32.114
3,20.144
4,19.491
5,22.935
6,33.614
7,18.037
8,45.601
9,34.654